First-principles (PBE) data for a relaxed structure of SrTlHg3, as listed in Alexandria.

Cell: 5.698 5.698 5.698 Å, 90.00 90.00 90.00°
Sites, in units of the cell vectors:
Hg1 0.500 0.000 0.000
Hg2 0.000 0.500 0.000
Hg3 0.000 0.000 0.500
Sr1 0.500 0.500 0.500
Tl1 0.000 0.000 0.000

Summary:
E above lowest polymorph	353	meV per atom
E_form	0.040	eV/atom
space group	No. 221

---

First-principles (PBE) data for a relaxed structure of Pu2CdPb9, as listed in Alexandria.

Cell: 5.726 5.726 10.933 Å, 90.00 90.00 90.00°
Site moments in Bohr magnetons follow the coordinates.
Sites, in units of the cell vectors:
Pu1 0.000 0.000 0.337  5.52
Pu2 0.000 0.000 0.663  5.52
Cd1 0.000 0.000 0.000  -0.01
Pb1 0.500 0.000 0.159  0.02
Pb2 0.500 0.500 0.328  0.00
Pb3 0.000 0.500 0.500  -0.01
Pb4 0.500 0.500 0.672  0.00
Pb5 0.000 0.500 0.841  0.02
Pb6 0.500 0.000 0.841  0.02
Pb7 0.500 0.500 0.000  0.02
Pb8 0.000 0.500 0.159  0.02
Pb9 0.500 0.000 0.500  -0.01

Summary:
E_form	0.015	eV/atom
space group	No. 123